1.
Entry from Alexandria via LeMat-Bulk: an optimized crystal structure of ErZn2In (GGA-PBE).

Lattice parameters (Å, degrees): 5.608 9.709 3.186 90.00 90.00 90.00
Space group Cmmm (No. 65)
Symmetry-distinct sites (fractional):
1 Er 0.000 0.000 0.000 x2
2 Zn 0.250 0.250 0.500 x4
3 In 0.000 0.500 0.500 x2

- Volume: 21.68 A^3/atom
- D(E_F): 1.474 states/eV/f.u.
- ΔH_f (0 K): -0.18 eV/atom
- Electronic total energy: -10.6 eV per formula unit



2.
Entry from Alexandria via LeMat-Bulk: an optimized crystal structure of Er5ZnIn2 (GGA-PBE).

Lattice parameters (Å, degrees): 11.249 6.841 6.841 90.00 127.46 90.00
Space group Cm (No. 8)
Symmetry-distinct sites (fractional):
1 Er 0.000 0.000 0.000 x2
2 Er 0.250 0.250 0.001 x4
3 Er 0.250 0.250 0.500 x4
4 Zn 0.000 0.500 0.501 x2
5 In 0.000 0.000 0.500 x2
6 In 0.000 0.500 0.000 x2

- Volume: 26.11 A^3/atom
- D(E_F): 8.535 states/eV/f.u.
- ΔH_f (0 K): -0.25 eV/atom
- Electronic total energy: -31.6 eV per formula unit